Here is SmAlPt3 after structural relaxation from Alexandria via LeMat-Bulk. Energies are from PBE-GGA.

The space group is Pbam (No. 55) and the conventional cell measures 6.2523, 6.2789 and 5.2023 Å, with angles of 90.00, 90.00 and 90.00 degrees. Symmetry generates all atoms from Sm at (0.0000, 0.0000, 0.0000), Al at (0.0000, 0.5000, 0.5000), Pt at (0.0000, 0.5000, 0.0000) and Pt at (0.1497, 0.1506, 0.5000).

Its formation energy is -0.727 eV/atom. The energy above the lowest structure with this stoichiometry comes out at 271 meV per atom. The value obtained for the volume is 204.23 Å³/cell.